Li3Fe2OF5 | GGA+U | optimized geometry

Cell and atoms, written as POSCAR:
```
Li3Fe2OF5
1.0
0.000 4.222 9.068
3.018 0.000 9.068
3.018 4.222 0.000
Li Fe O F
6 4 2 10
direct
0.250 0.250 0.250
0.829 0.829 0.171
0.500 0.500 0.500
0.925 0.925 0.575
0.575 0.575 0.925
0.171 0.171 0.829
0.750 0.750 0.750
0.000 0.000 0.000
0.329 0.329 0.671
0.671 0.671 0.329
0.993 0.507 0.993
0.507 0.993 0.507
0.590 0.080 0.921
0.237 0.763 0.237
0.080 0.590 0.409
0.675 0.164 0.366
0.366 0.795 0.675
0.164 0.675 0.795
0.763 0.237 0.763
0.921 0.409 0.590
0.795 0.366 0.164
0.409 0.921 0.080
```

Calculated values
* symmetry: No. 22
* crystal system: orthorhombic
* total magnetic moment: 16.0 μB per cell
* uncorrected energy: -5.296 eV/atom